Below is a relaxed structure of YEr3Tm5, with properties calculated at the PBE level.

a b c (Å): 9.270 9.270 9.225
angles (deg): 57.49 57.49 74.22
Atoms (fractional coordinates):
Tm 0.524 0.899 0.725
Tm 0.486 0.331 0.499
Tm 0.899 0.524 0.225
Tm 0.174 0.826 0.750
Tm 0.476 0.101 0.275
Tm 0.101 0.476 0.775
Tm 0.669 0.514 0.001
Tm 0.826 0.174 0.250
Tm 0.514 0.669 0.501
Tm 0.331 0.486 0.999
Er 0.297 0.130 0.012
Er 0.130 0.297 0.512
Er 0.703 0.870 0.988
Er 0.870 0.703 0.488
Er 0.000 0.000 0.000
Er 0.000 0.000 0.500
Y 0.699 0.301 0.750
Y 0.301 0.699 0.250

Fermi-level density of states, states/eV per cell: 28.152
Relative energy among the computed polymorphs, eV per formula unit: 0.00
Mass density, Mg/m³: 8.46
SG: C2/c (15)
Formation enthalpy at 0 K, eV per atom: 0.180

---

Below is a relaxed structure of Y8ErTm5, with properties calculated at the PBE level.

a b c (Å): 8.407 8.407 8.407
angles (deg): 110.96 106.54 110.96
Atoms (fractional coordinates):
Y 0.083 0.748 0.476
Y 0.524 0.607 0.272
Y 0.574 0.914 0.835
Y 0.340 0.261 0.426
Y 0.921 0.086 0.660
Y 0.728 0.252 0.335
Y 0.665 0.393 0.917
Y 0.165 0.739 0.079
Tm 0.816 0.680 0.715
Tm 0.285 0.101 0.965
Tm 0.864 0.899 0.184
Tm 0.035 0.320 0.136
Tm 0.500 0.000 0.500
Er 0.250 0.500 0.750

Fermi-level density of states, states/eV per cell: 22.177
Mass density, Mg/m³: 6.27
SG: I-4 (82)
Formation enthalpy at 0 K, eV per atom: 0.256

---

Below is a relaxed structure of Y2Er4Tm5, with properties calculated at the PBE level.

a b c (Å): 3.503 9.287 11.648
angles (deg): 106.41 81.36 112.17
Atoms (fractional coordinates):
Y 0.863 0.272 0.818
Y 0.137 0.728 0.182
Tm 0.956 0.093 0.273
Tm 0.591 0.819 0.456
Tm 0.044 0.907 0.727
Tm 0.500 0.000 0.000
Tm 0.409 0.181 0.544
Er 0.773 0.455 0.364
Er 0.316 0.362 0.092
Er 0.684 0.638 0.908
Er 0.227 0.545 0.636

Fermi-level density of states, states/eV per cell: 15.211
Relative energy among the computed polymorphs, eV per formula unit: 0.00
Mass density, Mg/m³: 8.35
SG: C2/m (12)
Formation enthalpy at 0 K, eV per atom: 0.026

---

Below is a relaxed structure of Y2Er4Tm7, with properties calculated at the PBE level.

a b c (Å): 9.283 7.841 6.068
angles (deg): 97.44 96.23 65.07
Atoms (fractional coordinates):
Er 0.229 0.615 0.308
Er 0.153 0.078 0.537
Er 0.847 0.922 0.463
Er 0.771 0.385 0.692
Y 0.616 0.307 0.155
Y 0.384 0.693 0.845
Tm 0.693 0.845 0.924
Tm 0.000 0.000 0.000
Tm 0.461 0.229 0.615
Tm 0.539 0.771 0.385
Tm 0.077 0.538 0.769
Tm 0.307 0.155 0.076
Tm 0.923 0.462 0.231

Fermi-level density of states, states/eV per cell: 18.588
Mass density, Mg/m³: 8.50
SG: P-1 (2)
Formation enthalpy at 0 K, eV per atom: 0.028

---

Below is a relaxed structure of Y4Er4Tm3, with properties calculated at the PBE level.

a b c (Å): 3.500 5.548 17.914
angles (deg): 81.05 84.38 90.00
Atoms (fractional coordinates):
Tm 0.000 0.000 0.000
Tm 0.137 0.637 0.727
Tm 0.863 0.363 0.273
Er 0.320 0.820 0.360
Er 0.546 0.546 0.909
Er 0.681 0.180 0.640
Er 0.454 0.454 0.091
Y 0.733 0.733 0.535
Y 0.410 0.910 0.180
Y 0.590 0.091 0.820
Y 0.268 0.267 0.465

Fermi-level density of states, states/eV per cell: 22.094
Mass density, Mg/m³: 7.44
SG: P-1 (2)
Formation enthalpy at 0 K, eV per atom: 0.065

---

Below is a relaxed structure of YErTm2, with properties calculated at the PBE level.

a b c (Å): 4.966 4.972 4.972
angles (deg): 90.00 90.00 90.00
Atoms (fractional coordinates):
Er 0.500 0.500 0.500
Tm 0.000 0.000 0.500
Tm 0.000 0.500 0.000
Y 0.500 0.000 0.000

Fermi-level density of states, states/eV per cell: 5.882
Relative energy among the computed polymorphs, eV per formula unit: 0.10
Mass density, Mg/m³: 8.03
SG: P4/mmm (123)
Formation enthalpy at 0 K, eV per atom: 0.029

---

Below is a relaxed structure of Y5Er3Tm4, with properties calculated at the PBE level.

a b c (Å): 5.804 8.543 9.536
angles (deg): 106.34 72.28 70.14
Each line ends with the local moment (μB).
Atoms (fractional coordinates):
Y 0.628 0.948 0.797  0.01
Y 0.500 0.500 0.500  0.17
Y 0.372 0.052 0.203  0.01
Y 0.212 0.461 0.114  0.01
Y 0.788 0.539 0.886  0.01
Er 0.000 0.500 0.500  0.23
Er 0.480 0.312 0.729  0.02
Er 0.520 0.688 0.271  0.02
Tm 0.141 0.779 0.939  0.01
Tm 0.859 0.221 0.061  0.01
Tm 0.837 0.948 0.378  0.00
Tm 0.163 0.052 0.622  0.00

Fermi-level density of states, states/eV per cell: 20.421
Relative energy among the computed polymorphs, eV per formula unit: 2.68
Mass density, Mg/m³: 7.04
SG: C2/m (12)
Formation enthalpy at 0 K, eV per atom: 0.251

---

Below is a relaxed structure of YEr9Tm2, with properties calculated at the PBE level.

a b c (Å): 4.963 4.963 14.893
angles (deg): 90.00 90.00 90.00
Atoms (fractional coordinates):
Er 0.000 0.500 0.500
Er 0.500 0.000 0.168
Er 0.000 0.500 0.832
Er 0.500 0.500 0.334
Er 0.500 0.000 0.500
Er 0.500 0.500 0.000
Er 0.000 0.500 0.168
Er 0.500 0.500 0.666
Er 0.500 0.000 0.832
Tm 0.000 0.000 0.666
Tm 0.000 0.000 0.334
Y 0.000 0.000 0.000

Fermi-level density of states, states/eV per cell: 17.655
Relative energy among the computed polymorphs, eV per formula unit: 0.00
Mass density, Mg/m³: 8.75
SG: P4/mmm (123)
Formation enthalpy at 0 K, eV per atom: 0.026

---

Below is a relaxed structure of Y4Er8Tm3, with properties calculated at the PBE level.

a b c (Å): 6.858 6.858 12.315
angles (deg): 73.83 73.83 60.00
Atoms (fractional coordinates):
Er 0.753 0.250 0.748
Er 0.756 0.756 0.732
Er 0.247 0.750 0.252
Er 0.250 0.753 0.748
Er 0.750 0.247 0.252
Er 0.250 0.250 0.748
Er 0.750 0.750 0.252
Er 0.244 0.244 0.268
Tm 0.500 0.000 0.500
Tm 0.000 0.500 0.500
Tm 0.000 0.000 0.500
Y 0.000 0.000 0.000
Y 0.664 0.664 0.008
Y 0.500 0.500 0.500
Y 0.336 0.336 0.992

Fermi-level density of states, states/eV per cell: 23.178
Relative energy among the computed polymorphs, eV per formula unit: 0.00
Mass density, Mg/m³: 7.69
SG: R-3m (166)
Formation enthalpy at 0 K, eV per atom: 0.134

---

Below is a relaxed structure of Y6ErTm8, with properties calculated at the PBE level.

a b c (Å): 6.413 9.367 9.367
angles (deg): 120.00 90.00 90.00
Atoms (fractional coordinates):
Y 0.589 0.897 0.581
Y 0.411 0.103 0.419
Y 0.411 0.316 0.897
Y 0.411 0.581 0.684
Y 0.589 0.419 0.316
Y 0.589 0.684 0.103
Tm 0.906 0.980 0.313
Tm 0.853 0.333 0.667
Tm 0.147 0.667 0.333
Tm 0.906 0.687 0.667
Tm 0.094 0.020 0.687
Tm 0.094 0.667 0.980
Tm 0.906 0.333 0.020
Tm 0.094 0.313 0.333
Er 0.500 0.000 0.000

Fermi-level density of states, states/eV per cell: 24.229
Relative energy among the computed polymorphs, eV per formula unit: 1.82
Mass density, Mg/m³: 6.99
SG: P-3 (147)
Formation enthalpy at 0 K, eV per atom: 0.246

---

Below is a relaxed structure of YErTmZn, with properties calculated at the PBE level.

a b c (Å): 3.542 3.542 8.559
angles (deg): 90.00 90.00 90.00
Atoms (fractional coordinates):
Er 0.000 0.000 0.076
Y 0.500 0.500 0.778
Zn 0.000 0.000 0.565
Tm 0.500 0.500 0.365

Fermi-level density of states, states/eV per cell: 4.167
Mass density, Mg/m³: 7.59
SG: P4mm (99)
Formation enthalpy at 0 K, eV per atom: -0.162

---

Below is a relaxed structure of Y3Er2Tm6Zr, with properties calculated at the PBE level.

a b c (Å): 6.028 6.028 11.541
angles (deg): 94.98 94.98 119.93
Atoms (fractional coordinates):
Zr 0.000 0.000 0.000
Er 0.667 0.333 0.000
Er 0.333 0.667 0.000
Y 0.500 0.500 0.500
Y 0.833 0.167 0.500
Y 0.167 0.833 0.500
Tm 0.919 0.593 0.757
Tm 0.246 0.246 0.757
Tm 0.081 0.407 0.243
Tm 0.593 0.919 0.757
Tm 0.407 0.081 0.243
Tm 0.754 0.754 0.243

Fermi-level density of states, states/eV per cell: 16.050
Mass density, Mg/m³: 7.92
SG: C2/m (12)
Formation enthalpy at 0 K, eV per atom: 0.045

---

- What is the Fermi-level density of states in the eighth record?
  17.655 states/eV per cell

---

What did the ninth record say?
Below is a relaxed structure of Y4Er8Tm3, with properties calculated at the PBE level.

a b c (Å): 6.858 6.858 12.315
angles (deg): 73.83 73.83 60.00
Atoms (fractional coordinates):
Er 0.753 0.250 0.748
Er 0.756 0.756 0.732
Er 0.247 0.750 0.252
Er 0.250 0.753 0.748
Er 0.750 0.247 0.252
Er 0.250 0.250 0.748
Er 0.750 0.750 0.252
Er 0.244 0.244 0.268
Tm 0.500 0.000 0.500
Tm 0.000 0.500 0.500
Tm 0.000 0.000 0.500
Y 0.000 0.000 0.000
Y 0.664 0.664 0.008
Y 0.500 0.500 0.500
Y 0.336 0.336 0.992

Fermi-level density of states, states/eV per cell: 23.178
Relative energy among the computed polymorphs, eV per formula unit: 0.00
Mass density, Mg/m³: 7.69
SG: R-3m (166)
Formation enthalpy at 0 K, eV per atom: 0.134

---

What did the third record say?
Below is a relaxed structure of Y2Er4Tm5, with properties calculated at the PBE level.

a b c (Å): 3.503 9.287 11.648
angles (deg): 106.41 81.36 112.17
Atoms (fractional coordinates):
Y 0.863 0.272 0.818
Y 0.137 0.728 0.182
Tm 0.956 0.093 0.273
Tm 0.591 0.819 0.456
Tm 0.044 0.907 0.727
Tm 0.500 0.000 0.000
Tm 0.409 0.181 0.544
Er 0.773 0.455 0.364
Er 0.316 0.362 0.092
Er 0.684 0.638 0.908
Er 0.227 0.545 0.636

Fermi-level density of states, states/eV per cell: 15.211
Relative energy among the computed polymorphs, eV per formula unit: 0.00
Mass density, Mg/m³: 8.35
SG: C2/m (12)
Formation enthalpy at 0 K, eV per atom: 0.026